Entry 1:
PBE Nd3Dy2ErAs6, optimized geometry; N(E_F) = 1.783 states/eV/f.u.; DFT formation energy = -1.5147 eV/atom
1.0
7.260 0.000 0.001
-3.628 6.288 0.001
-1.210 -2.096 6.839
Er Nd As Dy
1 3 6 2
Direct
0.000 0.000 0.000
0.167 0.833 0.500
0.500 0.500 0.500
0.833 0.167 0.500
0.080 0.412 0.240
0.748 0.748 0.240
0.920 0.588 0.760
0.412 0.080 0.240
0.252 0.252 0.760
0.588 0.920 0.760
0.667 0.333 0.000
0.333 0.667 0.000

Entry 2:
PBE V15Ru2Rh2, optimized geometry; N(E_F) = 27.431 states/eV/f.u.; DFT formation energy = 0.2135 eV/atom
1.0
5.087 -4.149 -0.082
5.087 4.149 -0.082
1.805 0.000 6.312
V Rh Ru
15 2 2
Direct
0.325 0.675 0.000
0.835 0.350 0.350
0.675 0.325 0.000
0.650 0.165 0.650
0.350 0.835 0.350
0.165 0.650 0.650
0.000 0.675 0.325
0.000 0.500 0.000
0.650 0.650 0.165
0.000 0.000 0.500
0.000 0.325 0.675
0.675 0.000 0.325
0.325 0.000 0.675
0.350 0.350 0.835
0.500 0.000 0.000
0.908 0.908 0.908
0.092 0.092 0.092
0.675 0.675 0.675
0.325 0.325 0.325

no.,spin magnetization (μB/f.u.),uncorrected energy (eV for the cell shown)
1,0.000,-74.14
2,0.017,-165.98